A plane-wave DFT calculation with PBE was carried out for an optimized crystal structure of La4As2PbSe.

The structure in CIF format:
```
data_La4As2PbSe
_space_group_name_H-M_alt 'P 1'
_space_group_IT_number 1
_space_group_name_Hall 'P 1'
_cell_length_a 4.3861
_cell_length_b 7.7586
_cell_length_c 7.7084
_cell_angle_alpha 71.07
_cell_angle_beta 90.00
_cell_angle_gamma 90.00
loop_
_atom_site_label
_atom_site_type_symbol
_atom_site_fract_x
_atom_site_fract_y
_atom_site_fract_z
_atom_site_occupancy
La1 La 0.0000 0.2342 0.2618 1
La2 La 0.0000 0.7658 0.7382 1
La3 La 0.5000 0.2374 0.7512 1
La4 La 0.5000 0.7626 0.2488 1
As1 As 0.5000 0.0000 0.5000 1
As2 As 0.0000 0.0000 0.0000 1
Pb1 Pb 0.5000 0.5000 0.0000 1
Se1 Se 0.0000 0.5000 0.5000 1
```

* symmetry: P2/m (10)
* uncorrected formation energy: -1.43 eV/atom
* N(E_F): 0.230 states/eV per atom